Computed, not measured: a relaxed Sr2LaNbPd crystal at the PBE level of DFT.

Summary:
- space-group type = P4/mmm, No. 123
- DFT formation energy (eV/atom) = 0.430
- V (Å³ per cell) = 175.50
- size of the total moment (μB/f.u.) = 1.717

```
Sr2LaNbPd
1.0
5.838 0.000 0.000
0.000 5.838 0.000
0.000 0.000 5.149
Sr La Nb Pd
2 1 1 1
Direct
0.000 0.500 0.000
0.500 0.000 0.000
0.000 0.000 0.500
0.500 0.500 0.500
0.500 0.500 0.000
```